Computed, not measured: a geometry-optimized CaTaOs2 structure at the GGA-PBE level of DFT.

Cell and atoms, written as CIF:
```
data_CaTaOs2
_space_group_name_H-M_alt 'R -3 m'
_space_group_IT_number 166
_space_group_name_Hall '-R 3 2"'
_cell_length_a 3.0743
_cell_length_b 3.0743
_cell_length_c 26.6699
_cell_angle_alpha 90.00
_cell_angle_beta 90.00
_cell_angle_gamma 120.00
loop_
_atom_site_label
_atom_site_fract_x
_atom_site_fract_y
_atom_site_fract_z
Ca1 0.0000 0.0000 0.0000
Ta1 0.0000 0.0000 0.5000
Os1 0.0000 0.0000 0.2408
```

Computed, not measured: a geometry-optimized SmBiI structure at the GGA-PBE level of DFT.

Raw formation energy in eV/atom: -0.767

Cell and atoms, written as CIF:
```
data_SmBiI
_space_group_name_H-M_alt 'C 1 2/m 1'
_space_group_IT_number 12
_cell_length_a 12.9046
_cell_length_b 4.5473
_cell_length_c 8.3667
_cell_angle_alpha 90.00
_cell_angle_beta 92.18
_cell_angle_gamma 90.00
loop_
_space_group_symop_operation_xyz
'x,y,z'
'-x,-y,-z'
'-x,y,-z'
'x,-y,z'
'x+1/2,y+1/2,z'
'-x+1/2,-y+1/2,-z'
'-x+1/2,y+1/2,-z'
'x+1/2,-y+1/2,z'
loop_
_atom_site_label
_atom_site_fract_x
_atom_site_fract_y
_atom_site_fract_z
Sm1 0.2172 0.0000 0.2537
Bi1 0.1140 0.5000 0.4608
I1 0.1321 0.0000 0.8873
```

Computed, not measured: a geometry-optimized Ti4AlS structure at the GGA-PBE level of DFT.

Raw formation energy in eV/atom: -0.506

Cell and atoms, written as CIF:
```
data_Ti4AlS
_space_group_name_H-M_alt 'C 1 2/c 1'
_space_group_IT_number 15
_cell_length_a 13.2138
_cell_length_b 5.6552
_cell_length_c 5.4344
_cell_angle_alpha 90.00
_cell_angle_beta 103.03
_cell_angle_gamma 90.00
loop_
_space_group_symop_operation_xyz
'x,y,z'
'-x,-y,-z'
'-x,y,-z+1/2'
'x,-y,z+1/2'
'x+1/2,y+1/2,z'
'-x+1/2,-y+1/2,-z'
'-x+1/2,y+1/2,-z+1/2'
'x+1/2,-y+1/2,z+1/2'
loop_
_atom_site_label
_atom_site_fract_x
_atom_site_fract_y
_atom_site_fract_z
Ti1 0.0913 0.1100 0.0451
Ti2 0.1782 0.3786 0.5956
Al1 0.0000 0.4941 0.2500
S1 0.2500 0.2500 0.0000
```

Computed, not measured: a geometry-optimized YAgPd2 structure at the GGA-PBE level of DFT.

Cell and atoms, written as CIF:
```
data_YAgPd2
_space_group_name_H-M_alt 'F m -3 m'
_space_group_IT_number 225
_space_group_name_Hall '-F 4 2 3'
_cell_length_a 6.7127
_cell_length_b 6.7127
_cell_length_c 6.7127
_cell_angle_alpha 90.00
_cell_angle_beta 90.00
_cell_angle_gamma 90.00
loop_
_atom_site_label
_atom_site_fract_x
_atom_site_fract_y
_atom_site_fract_z
Y1 0.0000 0.0000 0.0000
Ag1 0.0000 0.0000 0.5000
Pd1 0.2500 0.2500 0.2500
```

Computed, not measured: a geometry-optimized BaPbI3 structure at the GGA-PBE level of DFT.

Raw formation energy in eV/atom: -0.704

Cell and atoms, written as CIF:
```
data_BaPbI3
_space_group_name_H-M_alt 'P m -3 m'
_space_group_IT_number 221
_space_group_name_Hall '-P 4 2 3'
_cell_length_a 6.6518
_cell_length_b 6.6518
_cell_length_c 6.6518
_cell_angle_alpha 90.00
_cell_angle_beta 90.00
_cell_angle_gamma 90.00
loop_
_atom_site_label
_atom_site_fract_x
_atom_site_fract_y
_atom_site_fract_z
Ba1 0.0000 0.0000 0.0000
Pb1 0.5000 0.5000 0.5000
I1 0.0000 0.0000 0.5000
```

Computed, not measured: a geometry-optimized MgTaBi2O6 structure at the GGA-PBE level of DFT.

Raw formation energy in eV/atom: -1.942

Cell and atoms, written as CIF:
```
data_MgTaBi2O6
_space_group_name_H-M_alt 'P 1 21/c 1'
_space_group_IT_number 14
_cell_length_a 5.8954
_cell_length_b 5.6016
_cell_length_c 9.8334
_cell_angle_alpha 90.00
_cell_angle_beta 126.62
_cell_angle_gamma 90.00
loop_
_space_group_symop_operation_xyz
'x,y,z'
'-x,-y,-z'
'-x,y+1/2,-z+1/2'
'x,-y+1/2,z+1/2'
loop_
_atom_site_label
_atom_site_fract_x
_atom_site_fract_y
_atom_site_fract_z
Mg1 0.0000 0.0000 0.0000
Ta1 0.5000 0.0000 0.5000
Bi1 0.2702 0.0187 0.7508
O1 0.1628 0.0166 0.2588
O2 0.3061 0.7348 0.0604
O3 0.3254 0.2486 0.5664
```

Computed, not measured: a geometry-optimized Rb3PuSn2Br9 structure at the GGA-PBE level of DFT.

Raw formation energy in eV/atom: -1.277

Cell and atoms, written as CIF:
```
data_Rb3PuSn2Br9
_space_group_name_H-M_alt 'P -3 m 1'
_space_group_IT_number 164
_space_group_name_Hall '-P 3 2"'
_cell_length_a 8.3636
_cell_length_b 8.3636
_cell_length_c 10.2288
_cell_angle_alpha 90.00
_cell_angle_beta 90.00
_cell_angle_gamma 120.00
loop_
_atom_site_label
_atom_site_fract_x
_atom_site_fract_y
_atom_site_fract_z
Rb1 0.0000 0.0000 0.0000
Rb2 0.3333 0.6667 0.7158
Pu1 0.0000 0.0000 0.5000
Sn1 0.3333 0.6667 0.1687
Br1 0.0000 0.5000 0.0000
Br2 0.1613 0.3226 0.3279
```

Computed, not measured: a geometry-optimized ScTe2Pb structure at the GGA-PBE level of DFT.

Raw formation energy in eV/atom: -0.452

Cell and atoms, written as CIF:
```
data_ScTe2Pb
_space_group_name_H-M_alt 'I m m m'
_space_group_IT_number 71
_space_group_name_Hall '-I 2 2'
_cell_length_a 4.1736
_cell_length_b 6.8939
_cell_length_c 8.8538
_cell_angle_alpha 90.00
_cell_angle_beta 90.00
_cell_angle_gamma 90.00
loop_
_atom_site_label
_atom_site_fract_x
_atom_site_fract_y
_atom_site_fract_z
Sc1 0.0000 0.0000 0.0000
Te1 0.0000 0.5000 0.2783
Pb1 0.0000 0.0000 0.5000
```

Computed, not measured: a geometry-optimized Zr4SiTe structure at the GGA-PBE level of DFT.

Raw formation energy in eV/atom: 0.192

Cell and atoms, written as CIF:
```
data_Zr4SiTe
_space_group_name_H-M_alt 'F -4 3 m'
_space_group_IT_number 216
_space_group_name_Hall 'F -4 2 3'
_cell_length_a 8.1395
_cell_length_b 8.1395
_cell_length_c 8.1395
_cell_angle_alpha 90.00
_cell_angle_beta 90.00
_cell_angle_gamma 90.00
loop_
_atom_site_label
_atom_site_fract_x
_atom_site_fract_y
_atom_site_fract_z
Zr1 0.1241 0.1241 0.1241
Si1 0.2500 0.2500 0.7500
Te1 0.0000 0.0000 0.5000
```

Computed, not measured: a geometry-optimized PmHo4Tm3 structure at the GGA-PBE level of DFT.

Cell and atoms, written as CIF:
```
data_PmHo4Tm3
_space_group_name_H-M_alt 'P m m m'
_space_group_IT_number 47
_cell_length_a 3.5310
_cell_length_b 7.0382
_cell_length_c 9.9587
_cell_angle_alpha 90.00
_cell_angle_beta 90.00
_cell_angle_gamma 90.00
loop_
_space_group_symop_operation_xyz
'x,y,z'
'-x,-y,-z'
'-x,-y,z'
'x,y,-z'
'x,-y,-z'
'-x,y,z'
'-x,y,-z'
'x,-y,z'
loop_
_atom_site_label
_atom_site_fract_x
_atom_site_fract_y
_atom_site_fract_z
Pm1 0.0000 0.0000 0.0000
Ho1 0.5000 0.2517 0.2522
Tm1 0.0000 0.0000 0.5000
Tm2 0.0000 0.5000 0.0000
Tm3 0.0000 0.5000 0.5000
```

Computed, not measured: a geometry-optimized RbBeCu2 structure at the GGA-PBE level of DFT.

Cell and atoms, written as CIF:
```
data_RbBeCu2
_space_group_name_H-M_alt 'I 41/a m d'
_space_group_IT_number 141
_cell_length_a 5.0461
_cell_length_b 5.0461
_cell_length_c 14.8576
_cell_angle_alpha 90.00
_cell_angle_beta 90.00
_cell_angle_gamma 90.00
loop_
_space_group_symop_operation_xyz
'x,y,z'
'-x,-y,-z'
'-y+1/4,x+3/4,z+1/4'
'y+1/4,-x+3/4,-z+1/4'
'-x+1/2,-y,z+1/2'
'x+1/2,y,-z+1/2'
'y+1/4,-x+1/4,z+3/4'
'-y+1/4,x+1/4,-z+3/4'
'x,-y,-z'
'-x,y,z'
'-y+1/4,-x+1/4,-z+3/4'
'y+1/4,x+1/4,z+3/4'
'-x+1/2,y,-z+1/2'
'x+1/2,-y,z+1/2'
'y+1/4,x+3/4,-z+1/4'
'-y+1/4,-x+3/4,z+1/4'
'x+1/2,y+1/2,z+1/2'
'-x+1/2,-y+1/2,-z+1/2'
'-y+3/4,x+1/4,z+3/4'
'y+3/4,-x+1/4,-z+3/4'
'-x,-y+1/2,z'
'x,y+1/2,-z'
'y+3/4,-x+3/4,z+1/4'
'-y+3/4,x+3/4,-z+1/4'
'x+1/2,-y+1/2,-z+1/2'
'-x+1/2,y+1/2,z+1/2'
'-y+3/4,-x+3/4,-z+1/4'
'y+3/4,x+3/4,z+1/4'
'-x,y+1/2,-z'
'x,-y+1/2,z'
'y+3/4,x+1/4,-z+3/4'
'-y+3/4,-x+1/4,z+3/4'
loop_
_atom_site_label
_atom_site_fract_x
_atom_site_fract_y
_atom_site_fract_z
Rb1 0.0000 0.2500 0.3750
Be1 0.0000 0.2500 0.8750
Cu1 0.0000 0.0000 0.0000
```

Computed, not measured: a geometry-optimized CaLa2Cd8 structure at the GGA-PBE level of DFT.

Cell and atoms, written as CIF:
```
data_CaLa2Cd8
_space_group_name_H-M_alt 'C 1 2/m 1'
_space_group_IT_number 12
_cell_length_a 8.5508
_cell_length_b 16.3511
_cell_length_c 5.4466
_cell_angle_alpha 90.00
_cell_angle_beta 129.29
_cell_angle_gamma 90.00
loop_
_space_group_symop_operation_xyz
'x,y,z'
'-x,-y,-z'
'-x,y,-z'
'x,-y,z'
'x+1/2,y+1/2,z'
'-x+1/2,-y+1/2,-z'
'-x+1/2,y+1/2,-z'
'x+1/2,-y+1/2,z'
loop_
_atom_site_label
_atom_site_fract_x
_atom_site_fract_y
_atom_site_fract_z
Ca1 0.0000 0.0000 0.0000
La1 0.0000 0.3107 0.5000
Cd1 0.0000 0.2003 0.0000
Cd2 0.0008 0.5000 0.7512
Cd3 0.2258 0.1276 0.7270
```

no.,DOS(E_F) (states/eV/cell),uncorrected energy (eV/atom)
1,13.2,-8.703
2,3.4,-4.150
3,20.5,-7.081
4,11.3,-5.531
5,3.9,-2.760
6,2.3,-7.037
7,20.8,-3.963
8,3.5,-4.533
9,18.3,-6.934
10,11.5,-4.536
11,6.6,-2.721
12,11.4,-2.034